1.
Compound: La2CoH4
Source: Alexandria via LeMat-Bulk
Functional: PBE-GGA
Structure: relaxed

It has space group I4/mmm (No. 139), with a = 3.5733 Å, b = 3.5733 Å, c = 14.4519 Å, α = 90.00°, β = 90.00° and γ = 90.00°. The asymmetric unit holds La at (0.0000, 0.0000, 0.1306), Co at (0.0000, 0.0000, 0.5000), H at (0.0000, 0.0000, 0.3843) and H at (0.0000, 0.5000, 0.0000).

The calculation puts the total DFT energy (no corrections) at -4.7263 eV/atom. Its crystal system is tetragonal. The value obtained for the density of states at the Fermi level is 9.9 states/eV per cell. The density is 6.1 g cm⁻³.



2.
Compound: RbBaCd2
Source: Alexandria via LeMat-Bulk
Functional: PBE-GGA
Structure: relaxed

It has space group Fm-3m (No. 225), with a = 8.6481 Å, b = 8.6481 Å, c = 8.6481 Å, α = 90.00°, β = 90.00° and γ = 90.00°. The asymmetric unit holds Rb at (0.0000, 0.0000, 0.0000), Ba at (0.0000, 0.0000, 0.5000) and Cd at (0.2500, 0.2500, 0.2500).

The polymorph energy (0 for the lowest one) is 35 meV/atom. The calculation puts the total DFT energy (no corrections) at -1.2695 eV/atom. Its crystal system is cubic. The value obtained for the density of states at the Fermi level is 22.5 states/eV per cell. The density is 4.6 g cm⁻³.



3.
Compound: LaInSb2Rh
Source: Alexandria via LeMat-Bulk
Functional: PBE-GGA
Structure: relaxed

It has space group P4/mmm (No. 123), with a = 5.9507 Å, b = 5.9507 Å, c = 6.0141 Å, α = 90.00°, β = 90.00° and γ = 90.00°. The asymmetric unit holds La at (0.0000, 0.0000, 0.0000), In at (0.0000, 0.0000, 0.5000), Sb at (0.0000, 0.5000, 0.0000) and Rh at (0.5000, 0.5000, 0.5000).

The calculation puts the total DFT energy (no corrections) at -3.4693 eV/atom. Its crystal system is tetragonal. The value obtained for the density of states at the Fermi level is 8.9 states/eV per cell. The density is 4.7 g cm⁻³.



4.
Compound: LiHgSbS4
Source: Alexandria via LeMat-Bulk
Functional: PBE-GGA
Structure: relaxed

It has space group Imma (No. 74), with a = 7.4754 Å, b = 7.6383 Å, c = 11.4503 Å, α = 90.00°, β = 90.00° and γ = 90.00°. The asymmetric unit holds Li at (0.0000, 0.2500, 0.0992), Hg at (0.0000, 0.0000, 0.5000), Sb at (0.2500, 0.2500, 0.7500), S at (0.0000, 0.0137, 0.7554) and S at (0.2418, 0.2500, 0.5287).

The calculation puts the total DFT energy (no corrections) at -3.5411 eV/atom. Its crystal system is orthorhombic. The value obtained for the density of states at the Fermi level is 11.5 states/eV per cell. The density is 4.6 g cm⁻³.



5.
Compound: SrPaSe4
Source: Alexandria via LeMat-Bulk
Functional: PBE-GGA
Structure: relaxed

It has space group Cmmm (No. 65), with a = 9.6852 Å, b = 9.8940 Å, c = 4.3857 Å, α = 90.00°, β = 90.00° and γ = 90.00°. The asymmetric unit holds Sr at (0.0000, 0.0000, 0.0000), Pa at (0.0000, 0.5000, 0.5000), Se at (0.0000, 0.3200, 0.0000) and Se at (0.2225, 0.0000, 0.5000).

The polymorph energy (0 for the lowest one) is 14 meV/atom. The calculation puts the total DFT energy (no corrections) at -5.4548 eV/atom. Its crystal system is orthorhombic. The value obtained for the density of states at the Fermi level is 7.8 states/eV per cell. The density is 5.0 g cm⁻³.



6.
Compound: BaMg2W
Source: Alexandria via LeMat-Bulk
Functional: PBE-GGA
Structure: relaxed

It has space group P4/mmm (No. 123), with a = 3.0384 Å, b = 3.0384 Å, c = 10.3029 Å, α = 90.00°, β = 90.00° and γ = 90.00°. The asymmetric unit holds Ba at (0.0000, 0.0000, 0.0000), Mg at (0.5000, 0.5000, 0.3004) and W at (0.0000, 0.0000, 0.5000).

The polymorph energy (0 for the lowest one) is 0 meV/atom. The calculation puts the total DFT energy (no corrections) at -3.8983 eV/atom. Its crystal system is tetragonal. The value obtained for the density of states at the Fermi level is 2.9 states/eV per cell. The density is 6.5 g cm⁻³.



7.
Compound: Pr2MgZn2Cu5
Source: Alexandria via LeMat-Bulk
Functional: PBE-GGA
Structure: relaxed

It has space group P4/mbm (No. 127), with a = 10.0058 Å, b = 10.0058 Å, c = 3.6456 Å, α = 90.00°, β = 90.00° and γ = 90.00°. The asymmetric unit holds Pr at (0.1807, 0.3193, 0.0000), Mg at (0.0000, 0.0000, 0.0000), Zn at (0.1169, 0.6169, 0.0000), Cu at (0.0000, 0.5000, 0.5000) and Cu at (0.0524, 0.7934, 0.5000).

The calculation puts the total DFT energy (no corrections) at -3.5006 eV/atom. Its crystal system is tetragonal. The value obtained for the density of states at the Fermi level is 11.8 states/eV per cell. The density is 6.9 g cm⁻³.



8.
Compound: PtSI2N
Source: Alexandria via LeMat-Bulk
Functional: PBE-GGA
Structure: relaxed

It has space group P4/mmm (No. 123), with a = 5.8220 Å, b = 5.8220 Å, c = 3.2762 Å, α = 90.00°, β = 90.00° and γ = 90.00°. The asymmetric unit holds Pt at (0.0000, 0.0000, 0.0000), S at (0.5000, 0.5000, 0.5000), I at (0.0000, 0.5000, 0.5000) and N at (0.5000, 0.5000, 0.0000).

The polymorph energy (0 for the lowest one) is 283 meV/atom. The calculation puts the total DFT energy (no corrections) at -3.1753 eV/atom. Its crystal system is tetragonal. The value obtained for the density of states at the Fermi level is 4.6 states/eV per cell. The density is 7.4 g cm⁻³.